Compound: Pm3Dy2ThAs6
Source: the Alexandria database
Functional: PBE
Structure: relaxed Values from VASP.

Results
- Crystal system: monoclinic
- Uncorrected energy: -6.42 eV per atom
- Energy of formation from the pure elements: -1764 kJ/mol of formula units

Quantum ESPRESSO input file:
```
&SYSTEM
  ibrav = 0, nat = 12, ntyp = 4
/
ATOMIC_SPECIES
Pm 145.00 Pm.upf
Dy 162.50 Dy.upf
Th 232.04 Th.upf
As 74.92 As.upf
ATOMIC_POSITIONS crystal
Pm 0.000 0.000 0.000
Pm 0.333 0.333 0.670
Pm 0.667 0.667 0.330
Dy 0.332 0.332 0.164
Dy 0.668 0.668 0.836
Th 0.000 0.000 0.500
As 0.166 0.166 0.587
As 0.168 0.168 0.079
As 0.498 0.498 0.249
As 0.502 0.502 0.751
As 0.832 0.832 0.921
As 0.834 0.834 0.413
CELL_PARAMETERS angstrom
9.159 -2.104 0.000
9.159 2.104 0.000
-1.942 0.000 8.182
```

Compound: CdTeWI2
Source: the Alexandria database
Functional: PBE
Structure: relaxed Values from VASP.

Results
- Formation energy without anion corrections: 1.35 eV per atom
- Crystal system: tetragonal
- Uncorrected energy: -2.67 eV per atom
- Excess energy over the best structure of this formula in the dataset: 854 meV per atom

Quantum ESPRESSO input file:
```
&SYSTEM
  ibrav = 0, nat = 5, ntyp = 4
/
ATOMIC_SPECIES
Cd 112.41 Cd.upf
Te 127.60 Te.upf
W 183.84 W.upf
I 126.90 I.upf
ATOMIC_POSITIONS crystal
Cd 0.000 0.000 0.000
Te 0.000 0.000 0.500
W 0.500 0.500 0.500
I 0.000 0.500 0.000
I 0.500 0.000 0.000
CELL_PARAMETERS angstrom
5.671 0.000 0.000
0.000 5.671 0.000
0.000 0.000 5.852
```

Compound: CsNa2ErCl6
Source: the Alexandria database
Functional: PBE
Structure: relaxed Values from VASP.

Results
- Formation energy without anion corrections: -2.05 eV per atom
- Crystal system: trigonal
- Uncorrected energy: -3.96 eV per atom

Quantum ESPRESSO input file:
```
&SYSTEM
  ibrav = 0, nat = 10, ntyp = 4
/
ATOMIC_SPECIES
Cs 132.91 Cs.upf
Na 22.99 Na.upf
Er 167.26 Er.upf
Cl 35.45 Cl.upf
ATOMIC_POSITIONS crystal
Cs 0.000 0.000 0.000
Na 0.271 0.271 0.271
Na 0.791 0.791 0.791
Er 0.466 0.466 0.466
Cl 0.069 0.592 0.477
Cl 0.224 0.528 0.847
Cl 0.477 0.069 0.592
Cl 0.528 0.847 0.224
Cl 0.592 0.477 0.069
Cl 0.847 0.224 0.528
CELL_PARAMETERS angstrom
3.642 2.103 6.704
-3.642 2.103 6.704
0.000 -4.205 6.704
```

Compound: Hg4Pt
Source: the Alexandria database
Functional: PBE
Structure: relaxed Values from VASP.

Results
- Crystal system: cubic
- Uncorrected energy: -1.46 eV per atom
- Excess energy over the best structure of this formula in the dataset: 99 meV per atom
- Energy of formation from the pure elements: -3 kJ/mol of formula units

Quantum ESPRESSO input file:
```
&SYSTEM
  ibrav = 0, nat = 5, ntyp = 2
/
ATOMIC_SPECIES
Hg 200.59 Hg.upf
Pt 195.08 Pt.upf
ATOMIC_POSITIONS crystal
Hg 0.000 0.000 0.000
Hg 0.000 0.500 0.500
Hg 0.500 0.000 0.500
Hg 0.500 0.500 0.000
Pt 0.500 0.500 0.500
CELL_PARAMETERS angstrom
5.353 0.000 0.000
0.000 5.353 0.000
0.000 0.000 5.353
```

Compound: ZrIr2Os
Source: the Alexandria database
Functional: PBE
Structure: relaxed Values from VASP.

Results
- Crystal system: tetragonal
- Uncorrected energy: -9.50 eV per atom
- Excess energy over the best structure of this formula in the dataset: 339 meV per atom
- Energy of formation from the pure elements: -50 kJ/mol of formula units

Quantum ESPRESSO input file:
```
&SYSTEM
  ibrav = 0, nat = 4, ntyp = 3
/
ATOMIC_SPECIES
Zr 91.22 Zr.upf
Ir 192.22 Ir.upf
Os 190.23 Os.upf
ATOMIC_POSITIONS crystal
Zr 0.000 0.000 0.000
Ir 0.000 0.000 0.502
Ir 0.500 0.500 0.261
Os 0.500 0.500 0.722
CELL_PARAMETERS angstrom
2.825 0.000 0.000
0.000 2.825 0.000
0.000 0.000 8.039
```

Compound: Cs3K2TeO6
Source: the Alexandria database
Functional: PBE
Structure: relaxed Values from VASP.

Results
- Formation energy without anion corrections: -1.29 eV per atom
- Crystal system: monoclinic
- Uncorrected energy: -4.42 eV per atom

Quantum ESPRESSO input file:
```
&SYSTEM
  ibrav = 0, nat = 12, ntyp = 4
/
ATOMIC_SPECIES
Cs 132.91 Cs.upf
K 39.10 K.upf
Te 127.60 Te.upf
O 16.00 O.upf
ATOMIC_POSITIONS crystal
Cs 0.000 0.000 0.000
Cs 0.328 0.672 0.000
Cs 0.672 0.328 0.000
K 0.166 0.834 0.500
K 0.834 0.166 0.500
Te 0.500 0.500 0.500
O 0.201 0.442 0.330
O 0.321 0.321 0.682
O 0.442 0.201 0.330
O 0.558 0.799 0.670
O 0.679 0.679 0.318
O 0.799 0.558 0.670
CELL_PARAMETERS angstrom
3.366 -5.844 0.000
3.366 5.844 0.000
-2.109 0.000 6.540
```

What did we get for density? Answer: 7.59 5.98 3.01 10.80 17.23 4.52 g cm⁻³, in the order shown.
What did we get for V? Answer: 315 188 308 153 64 257 Å³/f.u., in the order shown.